{"formula": "Ta2CdAs", "functional": "PBE-GGA", "state": "optimized geometry", "lattice_angstrom": [[-0.737, 1.835, -2.197], [-2.546, -1.146, 0.971], [-0.828, 7.106, 6.211]], "species": ["As", "Cd", "Ta", "Ta"], "frac_coords": [[0.000, 0.000, 0.456], [0.500, 0.500, 0.772], [0.000, 0.000, 0.021], [0.500, 0.500, 0.251]], "spacegroup": "No. 35", "dos_at_fermi_per_ev_cell": 3.139, "final_energy_ha_per_atom": -0.268, "volume_a3_per_cell": 79.7, "formation_energy_kj_per_mol_fu": 12}